# 1
# Cd2CuRePb

Crystalline Cd2CuRePb at its relaxed geometry (PBE, Alexandria).

The value obtained for the formation enthalpy at 0 K is 1719 meV/atom. For the total magnetization, the calculation gives 0.877 μB/atom. For the density of states at the Fermi level, the calculation gives 0.565 states/eV per atom. The calculation puts the electronic total energy at -13.5 eV per formula unit.

The structure belongs to space group P4/mmm (No. 123); the cell edges are 5.611, 5.611 and 4.887 Å and the angles 90.00°, 90.00° and 90.00°. The distinct sites, in fractional coordinates, are Cd at (0.000, 0.500, 0.000), Cu at (0.000, 0.000, 0.500), Re at (0.500, 0.500, 0.500) and Pb at (0.000, 0.000, 0.000).

=====

# 2
# SmCdCuPb

Crystalline SmCdCuPb at its relaxed geometry (PBE, Alexandria).

The value obtained for the formation enthalpy at 0 K is -120 meV/atom. For the total magnetization, the calculation gives 0.000 μB/atom. For the density of states at the Fermi level, the calculation gives 0.353 states/eV per atom. The calculation puts the electronic total energy at -13.9 eV per formula unit.

The structure belongs to space group F-43m (No. 216); the cell edges are 7.240, 7.240 and 7.240 Å and the angles 90.00°, 90.00° and 90.00°. The distinct sites, in fractional coordinates, are Sm at (0.000, 0.000, 0.000), Cd at (0.000, 0.000, 0.500), Cu at (0.250, 0.250, 0.750) and Pb at (0.250, 0.250, 0.250).

=====

# 3
# CdCuSn2Pb

Crystalline CdCuSn2Pb at its relaxed geometry (PBE, Alexandria).

The value obtained for the formation enthalpy at 0 K is 211 meV/atom. For the total magnetization, the calculation gives 0.000 μB/atom. For the density of states at the Fermi level, the calculation gives 0.668 states/eV per atom. The calculation puts the electronic total energy at -15.7 eV per formula unit.

The structure belongs to space group P4/mmm (No. 123); the cell edges are 5.178, 5.178 and 5.062 Å and the angles 90.00°, 90.00° and 90.00°. The distinct sites, in fractional coordinates, are Cd at (0.000, 0.000, 0.000), Cu at (0.000, 0.000, 0.500), Sn at (0.000, 0.500, 0.500) and Pb at (0.500, 0.500, 0.000).

=====

# 4
# Cd2CuSnPb

Crystalline Cd2CuSnPb at its relaxed geometry (PBE, Alexandria).

The value obtained for the formation enthalpy at 0 K is 192 meV/atom. For the total magnetization, the calculation gives 0.000 μB/atom. For the density of states at the Fermi level, the calculation gives 0.494 states/eV per atom. The calculation puts the electronic total energy at -12.7 eV per formula unit.

The structure belongs to space group P4/mmm (No. 123); the cell edges are 5.076, 5.076 and 5.109 Å and the angles 90.00°, 90.00° and 90.00°. The distinct sites, in fractional coordinates, are Cd at (0.000, 0.500, 0.000), Cu at (0.000, 0.000, 0.000), Sn at (0.000, 0.000, 0.500) and Pb at (0.500, 0.500, 0.500).

=====

# 5
# SrCd2CuPb

Crystalline SrCd2CuPb at its relaxed geometry (PBE, Alexandria).

The value obtained for the formation enthalpy at 0 K is -88 meV/atom. For the total magnetization, the calculation gives 0.000 μB/atom. For the density of states at the Fermi level, the calculation gives 0.473 states/eV per atom. The calculation puts the electronic total energy at -11.8 eV per formula unit.

The structure belongs to space group P4/mmm (No. 123); the cell edges are 5.093, 5.093 and 5.345 Å and the angles 90.00°, 90.00° and 90.00°. The distinct sites, in fractional coordinates, are Sr at (0.000, 0.000, 0.000), Cd at (0.000, 0.500, 0.500), Cu at (0.500, 0.500, 0.500) and Pb at (0.500, 0.500, 0.000).

=====

# 6
# TbCdCuPb

Crystalline TbCdCuPb at its relaxed geometry (PBE, Alexandria).

The value obtained for the formation enthalpy at 0 K is -107 meV/atom. For the total magnetization, the calculation gives 0.000 μB/atom. For the density of states at the Fermi level, the calculation gives 0.295 states/eV per atom. The calculation puts the electronic total energy at -13.8 eV per formula unit.

The structure belongs to space group F-43m (No. 216); the cell edges are 7.177, 7.177 and 7.177 Å and the angles 90.00°, 90.00° and 90.00°. The distinct sites, in fractional coordinates, are Tb at (0.000, 0.000, 0.000), Cd at (0.000, 0.000, 0.500), Cu at (0.250, 0.250, 0.750) and Pb at (0.250, 0.250, 0.250).

=====

# 7
# Cd2CuTePb

Crystalline Cd2CuTePb at its relaxed geometry (PBE, Alexandria).

For the total magnetization, the calculation gives 0.000 μB/atom. For the density of states at the Fermi level, the calculation gives 0.652 states/eV per atom. The calculation puts the electronic total energy at -8.9 eV per formula unit. The value obtained for the formation energy without anion corrections is 0.779 eV/atom.

The structure belongs to space group P4/mmm (No. 123); the cell edges are 5.619, 5.619 and 6.159 Å and the angles 90.00°, 90.00° and 90.00°. The distinct sites, in fractional coordinates, are Cd at (0.000, 0.500, 0.000), Cu at (0.000, 0.000, 0.500), Te at (0.500, 0.500, 0.500) and Pb at (0.500, 0.500, 0.000).

=====

# 8
# TiCd2CuPb

Crystalline TiCd2CuPb at its relaxed geometry (PBE, Alexandria).

The value obtained for the formation enthalpy at 0 K is 1141 meV/atom. For the total magnetization, the calculation gives 0.000 μB/atom. For the density of states at the Fermi level, the calculation gives 1.601 states/eV per atom. The calculation puts the electronic total energy at -11.8 eV per formula unit.

The structure belongs to space group P4/mmm (No. 123); the cell edges are 5.503, 5.503 and 4.804 Å and the angles 90.00°, 90.00° and 90.00°. The distinct sites, in fractional coordinates, are Ti at (0.000, 0.000, 0.000), Cd at (0.000, 0.500, 0.500), Cu at (0.500, 0.500, 0.000) and Pb at (0.500, 0.500, 0.500).

=====

# 9
# Tl2CdCuPb

Crystalline Tl2CdCuPb at its relaxed geometry (PBE, Alexandria).

The value obtained for the formation enthalpy at 0 K is 223 meV/atom. For the total magnetization, the calculation gives 0.000 μB/atom. For the density of states at the Fermi level, the calculation gives 0.458 states/eV per atom. The calculation puts the electronic total energy at -12.3 eV per formula unit.

The structure belongs to space group P4/mmm (No. 123); the cell edges are 5.271, 5.271 and 5.083 Å and the angles 90.00°, 90.00° and 90.00°. The distinct sites, in fractional coordinates, are Tl at (0.000, 0.500, 0.000), Cd at (0.000, 0.000, 0.500), Cu at (0.000, 0.000, 0.000) and Pb at (0.500, 0.500, 0.500).

=====

# 10
# ZnCdCuPb2

Crystalline ZnCdCuPb2 at its relaxed geometry (PBE, Alexandria).

The value obtained for the formation enthalpy at 0 K is 606 meV/atom. For the total magnetization, the calculation gives 0.000 μB/atom. For the density of states at the Fermi level, the calculation gives 0.674 states/eV per atom. The calculation puts the electronic total energy at -10.7 eV per formula unit.

The structure belongs to space group P4/mmm (No. 123); the cell edges are 5.442, 5.442 and 4.964 Å and the angles 90.00°, 90.00° and 90.00°. The distinct sites, in fractional coordinates, are Zn at (0.000, 0.000, 0.000), Cd at (0.000, 0.000, 0.500), Cu at (0.500, 0.500, 0.500) and Pb at (0.000, 0.500, 0.000).

=====

# 11
# Cd2CuPd3

Crystalline Cd2CuPd3 at its relaxed geometry (PBE, Alexandria).

The value obtained for the formation enthalpy at 0 K is -316 meV/atom. For the total magnetization, the calculation gives 0.000 μB/atom. For the density of states at the Fermi level, the calculation gives 0.297 states/eV per atom. The calculation puts the electronic total energy at -23.4 eV per formula unit. The offset from the most stable computed form is 0 meV per atom.

The structure belongs to space group P4/mmm (No. 123); the cell edges are 3.068, 3.068 and 10.376 Å and the angles 90.00°, 90.00° and 90.00°. The distinct sites, in fractional coordinates, are Cd at (0.000, 0.000, 0.179), Cu at (0.000, 0.000, 0.500), Pd at (0.500, 0.500, 0.000) and Pd at (0.500, 0.500, 0.357).

=====

# 12
# Cd2Cu2Pd5

Crystalline Cd2Cu2Pd5 at its relaxed geometry (PBE, Alexandria).

The value obtained for the formation enthalpy at 0 K is -88 meV/atom. For the total magnetization, the calculation gives 0.000 μB/atom. For the density of states at the Fermi level, the calculation gives 0.524 states/eV per atom. The calculation puts the electronic total energy at -36.8 eV per formula unit.

The structure belongs to space group Cmce (No. 64); the cell edges are 13.986, 6.560 and 6.557 Å and the angles 90.00°, 90.00° and 90.00°. The distinct sites, in fractional coordinates, are Cd at (0.215, 0.000, 0.000), Cu at (0.000, 0.130, 0.370), Pd at (0.000, 0.000, 0.000) and Pd at (0.122, 0.167, 0.667).